[1]
Nd2Sm2I5N2 | OQMD | GGA-PBE | relaxed; VASP energy = -0.18873 hartree per atom
1.0
9.8429 -1.9724 0.0000
9.8429 1.9724 0.0000
-1.9480 0.0000 8.5295
Nd Sm I N
2 2 5 2
Direct
0.0003 0.0003 0.1845
0.9997 0.9997 0.8155
0.3486 0.3486 0.9208
0.6514 0.6514 0.0792
0.1635 0.1635 0.3617
0.1711 0.1711 0.8085
0.5000 0.5000 0.5000
0.8289 0.8289 0.1915
0.8365 0.8365 0.6383
0.4645 0.4645 0.9828
0.5355 0.5355 0.0172

***

[2]
Li2Ge2PdAu | OQMD | GGA-PBE | relaxed; VASP energy = -0.14803 hartree per atom
1.0
4.4467 0.0000 0.0000
-2.2234 3.8510 0.0000
0.0000 0.0000 5.6056
Li Ge Pd Au
2 2 1 1
Direct
0.0000 0.0000 0.2475
0.0000 0.0000 0.7525
0.3333 0.6667 0.5000
0.6667 0.3333 0.0000
0.3333 0.6667 0.0000
0.6667 0.3333 0.5000

***

[3]
YCoSiTc | OQMD | GGA-PBE | relaxed; excess energy over the best structure of this formula in the dataset = 0.000 eV per atom
1.0
0.0000 3.1268 3.1268
3.1268 0.0000 3.1268
3.1268 3.1268 0.0000
Y Co Si Tc
1 1 1 1
Direct
0.0000 0.0000 0.0000
0.7500 0.7500 0.7500
0.5000 0.5000 0.5000
0.2500 0.2500 0.2500

***

[4]
CuTc2Sb | OQMD | GGA-PBE | relaxed; VASP energy = -0.25019 hartree per atom
1.0
0.0000 3.1422 3.1422
3.1422 0.0000 3.1422
3.1422 3.1422 0.0000
Cu Tc Sb
1 2 1
Direct
0.0000 0.0000 0.0000
0.5000 0.5000 0.5000
0.7500 0.7500 0.7500
0.2500 0.2500 0.2500

***

[5]
GdMgTlS3 | OQMD | GGA-PBE | relaxed; VASP energy = -0.17921 hartree per atom
1.0
2.0523 -7.1255 0.0000
2.0523 7.1255 0.0000
0.0000 0.0000 10.8919
Gd Mg Tl S
2 2 2 6
Direct
0.0000 0.0000 0.0000
0.0000 0.0000 0.5000
0.4644 0.5356 0.7500
0.5356 0.4644 0.2500
0.2510 0.7490 0.2500
0.7490 0.2510 0.7500
0.0607 0.9393 0.7500
0.3775 0.6225 0.5615
0.3775 0.6225 0.9385
0.6225 0.3775 0.0615
0.6225 0.3775 0.4385
0.9393 0.0607 0.2500

***

[6]
SrNpAu | OQMD | GGA-PBE | relaxed; excess energy over the best structure of this formula in the dataset = 0.000 eV per atom
1.0
0.0000 3.6724 3.6724
3.6724 0.0000 3.6724
3.6724 3.6724 0.0000
Sr Np Au
1 1 1
Direct
0.0000 0.0000 0.0000
0.5000 0.5000 0.5000
0.7500 0.7500 0.7500